1.
## Ce12In3Hg (PBE)

Data for crystalline Ce12In3Hg at its relaxed geometry. Values from VASP.

Quantum ESPRESSO input file:
```
&SYSTEM
  ibrav = 0, nat = 16, ntyp = 3
/
ATOMIC_SPECIES
Ce 140.12 Ce.upf
In 114.82 In.upf
Hg 200.59 Hg.upf
CELL_PARAMETERS angstrom
4.819 0.000 0.000
0.000 4.819 0.000
0.000 0.000 19.210
ATOMIC_POSITIONS angstrom
Ce 2.409 0.000 12.014
Ce 2.409 2.409 0.000
Ce 2.409 0.000 16.822
Ce 2.409 2.409 4.780
Ce 2.409 0.000 2.388
Ce 2.409 0.000 7.197
Ce 0.000 2.409 7.197
Ce 0.000 2.409 12.014
Ce 2.409 2.409 14.431
Ce 0.000 2.409 2.388
Ce 2.409 2.409 9.605
Ce 0.000 2.409 16.822
In 0.000 0.000 4.783
In 0.000 0.000 14.428
In 0.000 0.000 9.605
Hg 0.000 0.000 0.000
```

Total magnetization ... 12.11 Bohr magnetons per cell
Symmetry ... P4/mmm, No. 123
DFT formation energy ... -0.17 eV per atom


2.
## PmZnInIr (PBE)

Data for crystalline PmZnInIr at its relaxed geometry. Values from VASP.

Quantum ESPRESSO input file:
```
&SYSTEM
  ibrav = 0, nat = 4, ntyp = 4
/
ATOMIC_SPECIES
In 114.82 In.upf
Pm 145.00 Pm.upf
Zn 65.41 Zn.upf
Ir 192.22 Ir.upf
CELL_PARAMETERS angstrom
-3.184 3.635 0.495
-4.389 -0.318 -2.057
-3.945 -0.587 2.773
ATOMIC_POSITIONS angstrom
In 0.000 0.000 0.000
Pm -5.759 1.365 0.606
Zn -2.879 0.683 0.303
Ir -8.638 2.048 0.908
```

Total magnetization ... 0.00 Bohr magnetons per cell
Symmetry ... F-43m, No. 216
DFT formation energy ... -0.33 eV per atom


3.
## V3Ir2Pd2 (PBE)

Data for crystalline V3Ir2Pd2 at its relaxed geometry. Values from VASP.

Quantum ESPRESSO input file:
```
&SYSTEM
  ibrav = 0, nat = 7, ntyp = 3
/
ATOMIC_SPECIES
Ir 192.22 Ir.upf
Pd 106.42 Pd.upf
V 50.94 V.upf
CELL_PARAMETERS angstrom
3.875 0.000 0.514
0.000 2.729 0.000
0.673 0.000 9.789
ATOMIC_POSITIONS angstrom
Ir 1.417 1.365 4.181
Ir 3.131 1.365 6.121
Pd 2.785 1.365 8.731
Pd 1.763 1.365 1.572
V 1.063 0.000 6.846
V 3.485 0.000 3.457
V 0.000 0.000 0.000
```

Total magnetization ... 0.30 Bohr magnetons per cell
Symmetry ... Cmmm, No. 65
DFT formation energy ... -0.18 eV per atom


4.
## CoRu2 (PBE)

Data for crystalline CoRu2 at its relaxed geometry. Values from VASP.

Quantum ESPRESSO input file:
```
&SYSTEM
  ibrav = 0, nat = 6, ntyp = 2
/
ATOMIC_SPECIES
Ru 101.07 Ru.upf
Co 58.93 Co.upf
CELL_PARAMETERS angstrom
-5.041 -2.738 -1.273
4.156 0.518 4.123
-1.905 2.777 1.572
ATOMIC_POSITIONS angstrom
Ru 0.454 1.796 3.968
Ru -2.622 0.707 2.164
Ru -3.245 -1.239 0.453
Ru -0.169 -0.151 2.258
Co 2.925 0.945 4.073
Co -5.716 -0.389 0.348
```

Total magnetization ... 0.28 Bohr magnetons per cell
Symmetry ... Cmcm, No. 63
DFT formation energy ... 0.15 eV per atom